Record 1
A plane-wave DFT calculation with GGA-PBE was carried out for a geometry-optimized IrPb2O4 structure.

E_tot ... -5.94 eV per atom
V ... 14.68 Å³/atom

a b c (Å): 3.9776 3.9776 7.0775
angles (deg): 73.68 73.68 90.00
With the nearest neighbours (Å) after each atom.
Atoms (fractional coordinates):
O  0.8412  0.8412  0.3175  1 Ir 2.06
O  0.1588  0.1588  0.6825  1 Ir 2.06
O  0.0000  0.5000  0.0000  2 Ir 1.99
O  0.5000  0.0000  0.0000  2 Ir 1.99
Pb  0.3496  0.3496  0.3007  1 O 2.48
Pb  0.6504  0.6504  0.6993  1 O 2.48
Ir  0.0000  0.0000  0.0000  6 O 1.99-2.06

***

Record 2
A plane-wave DFT calculation with GGA-PBE was carried out for a geometry-optimized CsCd2GaF8 structure.

E_tot ... -4.13 eV per atom
V ... 17.47 Å³/atom

a b c (Å): 5.3258 5.3668 7.8470
angles (deg): 76.72 77.87 76.99
With the nearest neighbours (Å) after each atom.
Atoms (fractional coordinates):
Cs  0.0000  0.0000  0.5000  6 F 2.89-2.95
F  0.1631  0.7520  0.1860  1 Ga 1.94
F  0.7606  0.1780  0.1762  1 Ga 1.94
F  0.8369  0.2480  0.8140  1 Ga 1.94
F  0.3608  0.3250  0.5086  2 Cd 2.24-2.26
F  0.2407  0.2235  0.9821  1 Ga 1.91
F  0.7593  0.7765  0.0179  1 Ga 1.91
F  0.6392  0.6750  0.4914  2 Cd 2.24-2.26
F  0.2394  0.8220  0.8238  1 Ga 1.94
Cd  0.4449  0.4442  0.7428  5 F 2.19-2.26
Cd  0.5551  0.5558  0.2572  5 F 2.19-2.26
Ga  0.0000  0.0000  0.0000  6 F 1.91-1.94

***

Record 3
A plane-wave DFT calculation with GGA-PBE was carried out for a geometry-optimized La2Pm3Tm8 structure.

V ... 34.01 Å³/atom
Energy of formation from the pure elements ... 259.0 meV/atom

a b c (Å): 5.5118 7.6528 11.1598
angles (deg): 110.05 90.01 90.00
With the nearest neighbours (Å) after each atom.
Atoms (fractional coordinates):
Tm  0.0004  0.6590  0.3179  4 Tm 3.38, 2 La 3.48, 2 Pm 3.68
Tm  0.5002  0.3953  0.2144  1 Pm 3.15, 3 Tm 3.24-3.38
Tm  0.9996  0.3410  0.6821  4 Tm 3.38, 2 La 3.48, 2 Pm 3.68
Tm  0.4998  0.6047  0.7856  1 Pm 3.15, 3 Tm 3.24-3.38
Tm  0.9999  0.1252  0.2503  4 Pm 3.46-3.81, 4 Tm 3.55, 2 La 3.66
Tm  0.5002  0.8191  0.2144  1 Pm 3.15, 3 Tm 3.24-3.38
Tm  0.0001  0.8748  0.7497  4 Pm 3.46-3.81, 4 Tm 3.55, 2 La 3.66
Tm  0.4998  0.1809  0.7856  1 Pm 3.15, 3 Tm 3.24-3.38
Pm  0.0000  0.7049  0.0000  1 Pm 3.14, 2 Tm 3.46
Pm  0.5000  0.0000  0.0000  4 Tm 3.15
Pm  0.0000  0.2951  0.0000  1 Pm 3.14, 2 Tm 3.46
La  0.4994  0.2400  0.4801  8 Tm 3.48-3.66, 2 La 3.85
La  0.5006  0.7600  0.5199  8 Tm 3.48-3.66, 2 La 3.85

***

Record 4
A plane-wave DFT calculation with GGA-PBE was carried out for a geometry-optimized K3NaS8 structure.

E_tot ... -3.71 eV per atom
V ... 30.59 Å³/atom

a b c (Å): 6.5242 7.7651 10.1432
angles (deg): 58.09 72.76 103.09
With the nearest neighbours (Å) after each atom.
Atoms (fractional coordinates):
S  0.0682  0.0000  0.2355  1 S 1.94
S  0.9686  0.0000  0.6122  1 S 2.14
S  0.2454  0.4330  0.7963  1 S 2.01
S  0.7090  0.6691  0.3715  1 S 2.01
S  0.0399  0.3309  0.0406  1 S 2.01
S  0.6869  0.0000  0.7872  1 S 2.14
S  0.8124  0.5670  0.2293  1 S 2.01
S  0.3128  0.0000  0.0707  1 S 1.94
K  0.7937  0.4820  0.7278  6 S 3.22-3.39
K  0.5133  0.0000  0.5422  4 S 3.02-3.31
K  0.3117  0.5180  0.2098  6 S 3.22-3.39
Na  0.0384  0.0000  0.8771  5 S 2.71-3.02

***

Record 5
A plane-wave DFT calculation with GGA-PBE was carried out for a geometry-optimized NiAs2 structure.

V ... 16.43 Å³/atom
Energy of formation from the pure elements ... -262.5 meV/atom

a b c (Å): 5.8100 5.8863 11.5327
angles (deg): 90.00 90.00 90.00
With the nearest neighbours (Å) after each atom.
Atoms (fractional coordinates):
As  0.1365  0.8106  0.9314  3 Ni 2.38-2.40, 1 As 2.50
As  0.1365  0.6894  0.4314  3 Ni 2.38-2.40, 1 As 2.50
As  0.3635  0.3106  0.9314  3 Ni 2.38-2.40, 1 As 2.50
As  0.1209  0.0530  0.6814  3 Ni 2.37-2.42, 1 As 2.50
As  0.8635  0.1894  0.0686  3 Ni 2.38-2.40, 1 As 2.50
As  0.1209  0.4470  0.1814  3 Ni 2.37-2.42, 1 As 2.50
As  0.3791  0.5530  0.6814  3 Ni 2.37-2.42, 1 As 2.50
As  0.6209  0.0530  0.8186  3 Ni 2.37-2.42, 1 As 2.50
As  0.8635  0.3106  0.5686  3 Ni 2.38-2.40, 1 As 2.50
As  0.8791  0.5530  0.8186  3 Ni 2.37-2.42, 1 As 2.50
As  0.3791  0.9470  0.1814  3 Ni 2.37-2.42, 1 As 2.50
As  0.6209  0.4470  0.3186  3 Ni 2.37-2.42, 1 As 2.50
As  0.6365  0.6894  0.0686  3 Ni 2.38-2.40, 1 As 2.50
As  0.6365  0.8106  0.5686  3 Ni 2.38-2.40, 1 As 2.50
As  0.8791  0.9470  0.3186  3 Ni 2.37-2.42, 1 As 2.50
As  0.3635  0.1894  0.4314  3 Ni 2.38-2.40, 1 As 2.50
Ni  0.5040  0.8252  0.3714  6 As 2.37-2.42
Ni  0.0040  0.6748  0.6286  6 As 2.37-2.42
Ni  0.9960  0.1748  0.8714  6 As 2.37-2.42
Ni  0.5040  0.6748  0.8714  6 As 2.37-2.42
Ni  0.9960  0.3252  0.3714  6 As 2.37-2.42
Ni  0.0040  0.8252  0.1286  6 As 2.37-2.42
Ni  0.4960  0.1748  0.6286  6 As 2.37-2.42
Ni  0.4960  0.3252  0.1286  6 As 2.37-2.42

***

Record 6
A plane-wave DFT calculation with GGA-PBE was carried out for a geometry-optimized Ce8ScPb6 structure.

V ... 30.03 Å³/atom
Energy of formation from the pure elements ... -218.4 meV/atom

a b c (Å): 9.3429 9.3429 8.0382
angles (deg): 54.47 54.47 60.00
With the nearest neighbours (Å) after each atom.
Atoms (fractional coordinates):
Ce  0.3112  0.3112  0.0664  3 Ce 2.69
Ce  0.5919  0.3708  0.2095  1 Ce 2.69
Ce  0.4081  0.6292  0.7905  1 Ce 2.69
Ce  0.1722  0.4081  0.7905  1 Ce 2.69
Ce  0.8278  0.5919  0.2095  1 Ce 2.69
Ce  0.6292  0.1722  0.7905  1 Ce 2.69
Ce  0.3708  0.8278  0.2095  1 Ce 2.69
Ce  0.6888  0.6888  0.9336  3 Ce 2.69
Sc  0.0000  0.0000  0.0000  6 Pb 3.09
Pb  0.6078  0.9531  0.2978  1 Pb 3.05, 1 Sc 3.09, 3 Ce 3.20-3.38
Pb  0.3922  0.0469  0.7022  1 Pb 3.05, 1 Sc 3.09, 3 Ce 3.20-3.38
Pb  0.8586  0.3922  0.7022  1 Pb 3.05, 1 Sc 3.09, 3 Ce 3.20-3.38
Pb  0.0469  0.8586  0.7022  1 Pb 3.05, 1 Sc 3.09, 3 Ce 3.20-3.38
Pb  0.9531  0.1414  0.2978  1 Pb 3.05, 1 Sc 3.09, 3 Ce 3.20-3.38
Pb  0.1414  0.6078  0.2978  1 Pb 3.05, 1 Sc 3.09, 3 Ce 3.20-3.38

***

- Which value of V does entry 5 give?
  16.43 Å³/atom

***

- Among the records above, which one has the lowest V?
  IrPb2O4

***

What did the second record say?
A plane-wave DFT calculation with GGA-PBE was carried out for a geometry-optimized CsCd2GaF8 structure.

E_tot ... -4.13 eV per atom
V ... 17.47 Å³/atom

a b c (Å): 5.3258 5.3668 7.8470
angles (deg): 76.72 77.87 76.99
With the nearest neighbours (Å) after each atom.
Atoms (fractional coordinates):
Cs  0.0000  0.0000  0.5000  6 F 2.89-2.95
F  0.1631  0.7520  0.1860  1 Ga 1.94
F  0.7606  0.1780  0.1762  1 Ga 1.94
F  0.8369  0.2480  0.8140  1 Ga 1.94
F  0.3608  0.3250  0.5086  2 Cd 2.24-2.26
F  0.2407  0.2235  0.9821  1 Ga 1.91
F  0.7593  0.7765  0.0179  1 Ga 1.91
F  0.6392  0.6750  0.4914  2 Cd 2.24-2.26
F  0.2394  0.8220  0.8238  1 Ga 1.94
Cd  0.4449  0.4442  0.7428  5 F 2.19-2.26
Cd  0.5551  0.5558  0.2572  5 F 2.19-2.26
Ga  0.0000  0.0000  0.0000  6 F 1.91-1.94